# GGA-PBE SrNdBi6, optimized geometry
data_SrNdBi6
_chemical_formula_sum 'Sr1 Nd1 Bi6'
_cell_length_a 4.9464
_cell_length_b 4.9464
_cell_length_c 10.4761
_cell_angle_alpha 90.00
_cell_angle_beta 90.00
_cell_angle_gamma 90.00
_symmetry_space_group_name_H-M 'P 4/m m m'
_symmetry_Int_Tables_number 123
_symmetry_space_group_name_Hall '-P 4 2'
loop_
_atom_site_label
_atom_site_fract_x
_atom_site_fract_y
_atom_site_fract_z
Sr1 0.0000 0.0000 0.0000
Nd1 0.0000 0.0000 0.5000
Bi1 0.0000 0.5000 0.2554
Bi2 0.5000 0.5000 0.0000
Bi3 0.5000 0.5000 0.5000
# Total moment   0.000 μB per formula unit
# Total energy   -4.1632 eV per atom
# Mass density   9.63 g/cm³
# Formation energy   -0.4463 eV/atom
# Crystal system   tetragonal